(P)
A plane-wave DFT calculation with GGA-PBE was carried out for a relaxed structure of BeIrN2F.

abc: 3.772 3.772 4.587
angles: 90.00 90.00 90.00
Each line ends with the local moment (μB).
Positions (direct):
Be 0.500 0.500 0.500  0.07
N 0.000 0.500 0.000  -0.09
N 0.500 0.000 0.000  -0.09
Ir 0.000 0.000 0.000  0.04
F 0.000 0.000 0.500  0.01

(Q)
A plane-wave DFT calculation with GGA-PBE was carried out for a relaxed structure of BeIrN2F.

abc: 3.843 3.843 2.952
angles: 90.00 90.00 90.00
Positions (direct):
Be 0.000 0.000 0.000
N 0.000 0.500 0.000
N 0.500 0.000 0.000
Ir 0.500 0.500 0.500
F 0.000 0.000 0.500

The energy of each structure relative to the most stable one, in kJ/mol of atoms, is as follows: (P) 24.5; (Q) 0.0.